[1]
The following is a DFT calculation (GGA-PBE) of crystalline Tb8Ga2Sb at its relaxed geometry.

E_form (uncorrected) in kJ/mol of atoms: -35.54
V in Å³/atom: 28.7
Size of the total moment in Bohr magnetons per cell: 0.0

a = 19.2014 Å, b = 4.9345 Å, c = 6.8371 Å
α = 90.00°, β = 102.58°, γ = 90.00°
Last column: nearest neighbours and their distance in Å.
Space group C2/m (No. 12)
Asymmetric unit:
Tb 0.0321 0.0000 0.2610 (multiplicity 4)  1 Ga 3.00, 2 Sb 3.09
Tb 0.0935 0.5000 0.9626 (multiplicity 4)  1 Sb 3.28, 2 Ga 3.42, 7 Tb 3.50-3.63
Tb 0.1627 0.5000 0.4809 (multiplicity 4)  3 Ga 3.01-3.05, 1 Sb 3.15
Tb 0.2127 0.0000 0.8237 (multiplicity 4)  3 Ga 3.07-3.23, 2 Tb 3.39
Ga 0.1876 0.0000 0.2522 (multiplicity 4)  7 Tb 3.00-3.23
Sb 0.0000 0.5000 0.5000 (multiplicity 2)  8 Tb 3.09-3.28

[2]
The following is a DFT calculation (GGA-PBE) of crystalline YPbBr at its relaxed geometry.

E_form (uncorrected) in kJ/mol of atoms: -15.26
V in Å³/atom: 31.1
Size of the total moment in Bohr magnetons per cell: 0.0

a = 7.2015 Å, b = 7.2015 Å, c = 7.2015 Å
α = 90.00°, β = 90.00°, γ = 90.00°
Last column: nearest neighbours and their distance in Å.
Space group F-43m (No. 216)
Asymmetric unit:
Y 0.0000 0.0000 0.0000 (multiplicity 4)  4 Br 3.12
Pb 0.0000 0.0000 0.5000 (multiplicity 4)  4 Br 3.12
Br 0.2500 0.2500 0.2500 (multiplicity 4)  4 Pb 3.12, 4 Y 3.12

[3]
The following is a DFT calculation (GGA-PBE) of crystalline NaVZn3 at its relaxed geometry.

ΔH_f (0 K) in eV/atom: 0.545
V in Å³/atom: 25.1
Size of the total moment in Bohr magnetons per cell: 3.7

a = 5.0065 Å, b = 5.0065 Å, c = 5.0065 Å
α = 90.00°, β = 90.00°, γ = 90.00°
Last column: nearest neighbours and their distance in Å.
Space group Pm-3m (No. 221)
Asymmetric unit:
Na 0.0000 0.0000 0.0000 (multiplicity 1)  12 Zn 3.54
V 0.5000 0.5000 0.5000 (multiplicity 1)  6 Zn 2.50
Zn 0.0000 0.5000 0.5000 (multiplicity 3)  2 V 2.50